CeNpCoRu (PBE, relaxed); magnetization = 2.2 μB/cell; VASP energy = -8.83 eV/atom
1.0
4.5862 0.0000 0.0000
2.2931 3.9718 0.0000
2.2931 1.3239 3.7446
Ru Ce Np Co
1 1 1 1
Cartesian
2.2931 1.3239 0.9362
6.8794 3.9718 2.8085
4.5862 2.6479 1.8723
0.0000 0.0000 0.0000